Material: PrScCu
Method: DFT, PBE-GGA
State: optimized geometry

Unit cell a=4.7863 b=4.7863 c=4.7863 alpha=60.00 beta=60.00 gamma=60.00
Element x y z (fractional)
Cu  0.0000  0.0000  0.0000
Pr  0.2500  0.2500  0.2500
Sc  0.7500  0.7500  0.7500

Values from the calculation:
**Uncorrected energy**: -14.469 eV for the cell shown
**M_tot**: 0.2 μB/cell
**E_form**: 117.0 meV per atom
**Energy above the lowest structure with this stoichiometry**: 0.00 kcal/mol of atoms

***

Material: PrScCuSe3
Method: DFT, PBE-GGA
State: optimized geometry

Unit cell a=6.9191 b=6.9191 c=10.0663 alpha=90.00 beta=90.00 gamma=146.95
Element x y z (fractional)
Cu  0.0255  0.9745  0.2500
Cu  0.9745  0.0255  0.7500
Pr  0.7349  0.2651  0.2500
Pr  0.2651  0.7349  0.7500
Sc  0.5000  0.5000  0.0000
Sc  0.5000  0.5000  0.5000
Se  0.1395  0.8605  0.0592
Se  0.4131  0.5869  0.2500
Se  0.1395  0.8605  0.4408
Se  0.8605  0.1395  0.5592
Se  0.5869  0.4131  0.7500
Se  0.8605  0.1395  0.9408

Values from the calculation:
**Uncorrected energy**: -66.920 eV for the cell shown
**M_tot**: 0.0 μB/cell

***

Material: Pr2CuSe3
Method: DFT, PBE-GGA
State: optimized geometry

Unit cell a=11.0573 b=4.0233 c=13.4713 alpha=90.00 beta=90.00 gamma=90.00
Element x y z (fractional)
Cu  0.7683  0.2500  0.2225
Cu  0.2683  0.2500  0.2775
Cu  0.7317  0.7500  0.7225
Cu  0.2317  0.7500  0.7775
Pr  0.7894  0.7500  0.0064
Pr  0.5185  0.7500  0.2372
Pr  0.0185  0.7500  0.2628
Pr  0.2894  0.7500  0.4936
Pr  0.7106  0.2500  0.5064
Pr  0.9815  0.2500  0.7372
Pr  0.4815  0.2500  0.7628
Pr  0.2106  0.2500  0.9936
Se  0.6132  0.2500  0.0925
Se  0.9505  0.2500  0.1081
Se  0.2629  0.7500  0.1658
Se  0.7629  0.7500  0.3342
Se  0.4505  0.2500  0.3919
Se  0.1132  0.2500  0.4075
Se  0.8868  0.7500  0.5925
Se  0.5495  0.7500  0.6081
Se  0.2371  0.2500  0.6658
Se  0.7371  0.2500  0.8342
Se  0.0495  0.7500  0.8919
Se  0.3868  0.7500  0.9075

Values from the calculation:
**Uncorrected energy**: -129.205 eV for the cell shown
**M_tot**: 0.0 μB/cell

***

Material: Pr3CuSnSe7
Method: DFT, PBE-GGA
State: optimized geometry

Unit cell a=10.7065 b=10.7065 c=6.3363 alpha=90.00 beta=90.00 gamma=120.00
Element x y z (fractional)
Cu  0.0000  0.0000  0.0019
Cu  0.0000  0.0000  0.5019
Pr  0.8645  0.2196  0.4662
Pr  0.7804  0.6448  0.4663
Pr  0.3551  0.1355  0.4663
Pr  0.1355  0.7804  0.9662
Pr  0.2196  0.3552  0.9662
Pr  0.6449  0.8645  0.9663
Se  0.4870  0.5718  0.2146
Se  0.4282  0.9151  0.2146
Se  0.0849  0.5130  0.2146
Se  0.6666  0.3333  0.2864
Se  0.1569  0.2565  0.4926
Se  0.0996  0.8431  0.4926
Se  0.7435  0.9004  0.4926
Se  0.5130  0.4282  0.7146
Se  0.5718  0.0849  0.7146
Se  0.9151  0.4870  0.7146
Se  0.3334  0.6667  0.7864
Se  0.2565  0.0996  0.9926
Se  0.9004  0.1569  0.9926
Se  0.8431  0.7435  0.9926
Sn  0.3333  0.6667  0.3883
Sn  0.6667  0.3333  0.8883

Values from the calculation:
**Uncorrected energy**: -124.630 eV for the cell shown
**M_tot**: 0.0 μB/cell

***

Material: PrCuSnTe2Se
Method: DFT, PBE-GGA
State: optimized geometry

Unit cell a=7.5167 b=7.5167 c=10.9752 alpha=90.00 beta=90.00 gamma=147.23
Element x y z (fractional)
Cu  0.0266  0.9734  0.2500
Cu  0.9734  0.0266  0.7500
Pr  0.5000  0.5000  0.0000
Pr  0.5000  0.5000  0.5000
Se  0.4250  0.5750  0.2500
Se  0.5750  0.4250  0.7500
Sn  0.7538  0.2462  0.2500
Sn  0.2462  0.7538  0.7500
Te  0.1530  0.8470  0.0728
Te  0.1530  0.8470  0.4272
Te  0.8470  0.1530  0.5728
Te  0.8470  0.1530  0.9272

Values from the calculation:
**Uncorrected energy**: -53.446 eV for the cell shown
**M_tot**: 0.0 μB/cell

***

Material: SrPrCuSe3
Method: DFT, PBE-GGA
State: optimized geometry

Unit cell a=11.0844 b=4.1733 c=13.5826 alpha=90.00 beta=90.00 gamma=90.00
Element x y z (fractional)
Cu  0.2645  0.7500  0.2216
Cu  0.7645  0.7500  0.2784
Cu  0.2355  0.2500  0.7216
Cu  0.7355  0.2500  0.7784
Pr  0.0169  0.2500  0.2369
Pr  0.5169  0.2500  0.2631
Pr  0.4831  0.7500  0.7369
Pr  0.9831  0.7500  0.7631
Se  0.1005  0.7500  0.0994
Se  0.4469  0.7500  0.1151
Se  0.7605  0.2500  0.1709
Se  0.2605  0.2500  0.3291
Se  0.9469  0.7500  0.3849
Se  0.6005  0.7500  0.4006
Se  0.3995  0.2500  0.5994
Se  0.0531  0.2500  0.6151
Se  0.7395  0.7500  0.6709
Se  0.2395  0.7500  0.8291
Se  0.5531  0.2500  0.8849
Se  0.8995  0.2500  0.9006
Sr  0.7169  0.7500  0.0004
Sr  0.2169  0.7500  0.4996
Sr  0.7831  0.2500  0.5004
Sr  0.2831  0.2500  0.9996

Values from the calculation:
**Uncorrected energy**: -119.548 eV for the cell shown
**M_tot**: 0.0 μB/cell

***

Material: SrPrCuTeSe2
Method: DFT, PBE-GGA
State: optimized geometry

Unit cell a=7.3976 b=7.3976 c=11.5755 alpha=90.00 beta=90.00 gamma=146.81
Element x y z (fractional)
Cu  0.0249  0.9751  0.2500
Cu  0.9751  0.0249  0.7500
Pr  0.5000  0.5000  0.0000
Pr  0.5000  0.5000  0.5000
Se  0.1332  0.8668  0.0807
Se  0.1332  0.8668  0.4193
Se  0.8668  0.1332  0.5807
Se  0.8668  0.1332  0.9193
Sr  0.7252  0.2748  0.2500
Sr  0.2748  0.7252  0.7500
Te  0.4082  0.5918  0.2500
Te  0.5918  0.4082  0.7500

Values from the calculation:
**Uncorrected energy**: -57.660 eV for the cell shown
**M_tot**: 0.0 μB/cell

***

Material: Pr3Tl2Cu2Se8
Method: DFT, PBE-GGA
State: optimized geometry

Unit cell a=7.5095 b=7.5095 c=15.6165 alpha=108.14 beta=108.14 gamma=32.08
Element x y z (fractional)
Cu  0.0483  0.0483  0.1913
Cu  0.9517  0.9517  0.8087
Pr  0.5000  0.5000  0.0000
Pr  0.6547  0.6547  0.3875
Pr  0.3454  0.3454  0.6125
Se  0.8933  0.8933  0.0664
Se  0.6433  0.6433  0.1883
Se  0.9977  0.9977  0.3255
Se  0.3066  0.3066  0.4156
Se  0.6934  0.6934  0.5844
Se  0.0023  0.0023  0.6745
Se  0.3567  0.3567  0.8117
Se  0.1067  0.1067  0.9336
Tl  0.3323  0.3323  0.2092
Tl  0.6677  0.6677  0.7908

Values from the calculation:
**Uncorrected energy**: -69.036 eV for the cell shown
**M_tot**: 0.0 μB/cell